# 1
## SrNiTe (GGA-PBE)

Data for a relaxed SrNiTe crystal.

```
data_SrNiTe
_chemical_formula_sum 'Sr2 Ni2 Te2'
_cell_length_a 4.328
_cell_length_b 6.200
_cell_length_c 6.408
_cell_angle_alpha 90.06
_cell_angle_beta 90.01
_cell_angle_gamma 110.34
_space_group_name_H-M_alt 'P 1'
_space_group_IT_number 1
loop_
_space_group_symop_operation_xyz
'x,y,z'
loop_
_atom_site_label
_atom_site_fract_x
_atom_site_fract_y
_atom_site_fract_z
_atom_site_occupancy
Sr1 0.000 0.000 0.000 1
Sr2 0.275 0.549 0.498 1
Ni1 0.689 0.377 0.812 1
Ni2 0.690 0.379 0.183 1
Te1 0.279 0.557 0.998 1
Te2 0.560 0.117 0.497 1
```

Summary:
Volume in A^3/atom: 26.871
Size of the total moment in Bohr magnetons per cell: 0.00
Formation energy without anion corrections in eV/atom: -0.726

# 2
## DyHo2SnC (GGA-PBE)

Data for a relaxed DyHo2SnC crystal.

```
data_DyHo2SnC
_chemical_formula_sum 'Dy1 Ho2 Sn1 C1'
_cell_length_a 4.864
_cell_length_b 4.864
_cell_length_c 4.890
_cell_angle_alpha 90.00
_cell_angle_beta 90.00
_cell_angle_gamma 90.00
_space_group_name_H-M_alt 'P 4/m m m'
_space_group_IT_number 123
_space_group_name_Hall '-P 4 2'
loop_
_atom_site_label
_atom_site_fract_x
_atom_site_fract_y
_atom_site_fract_z
_atom_site_occupancy
Dy1 0.000 0.000 0.000 1
Ho1 0.000 0.500 0.500 1
Sn1 0.500 0.500 0.000 1
C1 0.000 0.000 0.500 1
```

Summary:
Volume in A^3/atom: 23.140
Formation energy in eV per atom: -0.6392
Size of the total moment in Bohr magnetons per cell: 0.00

# 3
## TcSn2Hg (GGA-PBE)

Data for a relaxed TcSn2Hg crystal.

```
data_TcSn2Hg
_chemical_formula_sum 'Tc4 Sn8 Hg4'
_cell_length_a 4.398
_cell_length_b 4.398
_cell_length_c 18.839
_cell_angle_alpha 90.00
_cell_angle_beta 90.00
_cell_angle_gamma 90.00
_space_group_name_H-M_alt 'I -4 2 d'
_space_group_IT_number 122
_space_group_name_Hall 'I -4 2bw'
loop_
_atom_site_label
_atom_site_fract_x
_atom_site_fract_y
_atom_site_fract_z
_atom_site_occupancy
Tc1 0.000 0.000 0.000 1
Sn1 0.227 0.250 0.125 1
Hg1 0.000 0.000 0.500 1
```

Summary:
Volume in A^3/atom: 22.775
Formation energy in eV per atom: 0.5916
Size of the total moment in Bohr magnetons per cell: 0.00

| no. | DFT total energy (eV for the cell shown) |
| --- | --- |
| 1 | -25.57 |
| 2 | -30.18 |
| 3 | -65.23 |